SmY3Ho2Se6: optimized geometry, PBE-GGA.

Lattice parameters (Å, degrees): 7.0604 12.2988 7.0910 90.00 109.45 90.00
Last column: nearest neighbours and their distance in Å.
Space group C2/m (No. 12)
Unique sites:
Sm1 0.0000 0.0000 0.0000 x2  6 Se 2.92-2.95
Y1 0.0000 0.1610 0.5000 x4  6 Se 2.88-2.90
Y2 0.0000 0.5000 0.5000 x2  6 Se 2.85-2.91
Ho1 0.0000 0.3343 0.0000 x4  6 Se 2.86-2.89
Se1 0.2420 0.5000 0.2478 x4  3 Y 2.85-2.88, 2 Ho 2.86, 1 Sm 2.92
Se2 0.2457 0.3293 0.7481 x8  2 Ho 2.88-2.89, 3 Y 2.89-2.91, 1 Sm 2.95

Values from the calculation:
- total magnetization (μB/f.u.) = 0.00
- formation energy (no corrections) (eV per atom) = -1.76
- density of states at the Fermi level (states/eV per cell) = 10.938